LiTa2Ni | GGA-PBE | relaxed

For the energy above the lowest structure with this stoichiometry, the calculation gives 9.2 kJ per mole of atoms. The value obtained for the formation energy from the elements is 196 meV per atom. The calculation puts the total magnetization at 0.000 μB/atom. The calculation puts the density of states at the Fermi level at 5.1 states/eV/cell. The uncorrected energy comes out at -7.65 eV/atom. The volume is 122 Å³/cell. The mass density is 11.61 g cm⁻³.

It has space group Immm (No. 71), with a = 3.277 Å, b = 4.350 Å, c = 8.578 Å, α = 90.00°, β = 90.00° and γ = 90.00°. The distinct sites, in fractional coordinates, are Li at (0.000, 0.000, 0.000), Ta at (0.000, 0.500, 0.235) and Ni at (0.000, 0.000, 0.500).